No. 1
First-principles (GGA-PBE) data for a relaxed structure of Ce5Sb2H2, as listed in Alexandria.

Calculated values
Crystal system ... monoclinic
VASP energy ... -49.82 eV for the cell shown
Density ... 7.699 Mg/m³
N(E_F) ... 22.22 states/eV per cell

Cell lengths 6.397, 6.397, 8.165 Å; angles 103.42, 103.42, 39.06 degrees
Positions (direct):
Ce (0.000, 0.000, 0.000)
Ce (0.131, 0.131, 0.491)
Ce (0.275, 0.275, 0.819)
Ce (0.725, 0.725, 0.181)
Ce (0.869, 0.869, 0.509)
Sb (0.441, 0.441, 0.248)
Sb (0.559, 0.559, 0.752)
H (0.160, 0.160, 0.219)
H (0.840, 0.840, 0.781)


No. 2
First-principles (GGA-PBE) data for a relaxed structure of Ce7Sb3H2, as listed in Alexandria.

Calculated values
Crystal system ... tetragonal
VASP energy ... -68.62 eV for the cell shown
Density ... 7.753 Mg/m³
N(E_F) ... 30.80 states/eV per cell

Cell lengths 14.080, 14.080, 14.080 Å; angles 161.23, 161.23, 26.66 degrees
Positions (direct):
Ce (0.000, 0.000, 0.000)
Ce (0.091, 0.591, 0.500)
Ce (0.202, 0.202, 0.000)
Ce (0.409, 0.909, 0.500)
Ce (0.591, 0.091, 0.500)
Ce (0.798, 0.798, 0.000)
Ce (0.909, 0.409, 0.500)
Sb (0.320, 0.320, 0.000)
Sb (0.500, 0.500, 0.000)
Sb (0.680, 0.680, 0.000)
H (0.116, 0.116, 0.000)
H (0.884, 0.884, 0.000)


No. 3
First-principles (GGA-PBE) data for a relaxed structure of Ce5Sb5H, as listed in Alexandria.

Calculated values
Crystal system ... monoclinic
VASP energy ... -59.78 eV for the cell shown
Density ... 6.075 Mg/m³
N(E_F) ... 30.64 states/eV per cell

Cell lengths 7.596, 7.596, 8.777 Å; angles 107.43, 107.43, 48.49 degrees
Positions (direct):
Ce (0.000, 0.000, 0.000)
Ce (0.338, 0.338, 0.162)
Ce (0.339, 0.339, 0.675)
Ce (0.661, 0.661, 0.325)
Ce (0.662, 0.662, 0.838)
Sb (0.161, 0.161, 0.823)
Sb (0.171, 0.171, 0.336)
Sb (0.500, 0.500, 0.500)
Sb (0.829, 0.829, 0.664)
Sb (0.839, 0.839, 0.177)
H (0.500, 0.500, 0.000)


No. 4
First-principles (GGA-PBE) data for a relaxed structure of Ce4Sb3H4, as listed in Alexandria.

Calculated values
Crystal system ... orthorhombic
VASP energy ... -56.74 eV for the cell shown
Density ... 6.993 Mg/m³
N(E_F) ... 19.93 states/eV per cell

Cell lengths 8.309, 8.309, 8.309 Å; angles 149.88, 129.36, 60.05 degrees
Positions (direct):
Ce (0.218, 0.218, 0.000)
Ce (0.291, 0.500, 0.791)
Ce (0.709, 0.500, 0.209)
Ce (0.782, 0.782, 0.000)
Sb (0.000, 0.000, 0.000)
Sb (0.373, 0.873, 0.500)
Sb (0.627, 0.127, 0.500)
H (0.012, 0.322, 0.690)
H (0.368, 0.678, 0.690)
H (0.632, 0.322, 0.310)
H (0.988, 0.678, 0.310)


No. 5
First-principles (GGA-PBE) data for a relaxed structure of Ce3SbH4, as listed in Alexandria.

Calculated values
Crystal system ... tetragonal
VASP energy ... -40.63 eV for the cell shown
Density ... 6.732 Mg/m³
N(E_F) ... 19.51 states/eV per cell

Cell lengths 4.028, 4.028, 8.304 Å; angles 90.00, 90.00, 90.00 degrees
Positions (direct):
Ce (0.000, 0.000, 0.000)
Ce (0.500, 0.500, 0.300)
Ce (0.500, 0.500, 0.700)
Sb (0.000, 0.000, 0.500)
H (0.000, 0.500, 0.153)
H (0.000, 0.500, 0.847)
H (0.500, 0.000, 0.153)
H (0.500, 0.000, 0.847)


No. 6
First-principles (GGA-PBE) data for a relaxed structure of Ce2Sb2H, as listed in Alexandria.

Calculated values
Crystal system ... orthorhombic
VASP energy ... -54.84 eV for the cell shown
Density ... 6.772 Mg/m³
N(E_F) ... 24.40 states/eV per cell

Cell lengths 9.321, 9.321, 6.450 Å; angles 90.00, 90.00, 152.66 degrees
Positions (direct):
Ce (0.087, 0.913, 0.500)
Ce (0.337, 0.663, 0.454)
Ce (0.663, 0.337, 0.954)
Ce (0.913, 0.087, 0.000)
Sb (0.290, 0.710, 0.964)
Sb (0.494, 0.506, 0.728)
Sb (0.506, 0.494, 0.228)
Sb (0.710, 0.290, 0.464)
H (0.128, 0.872, 0.839)
H (0.872, 0.128, 0.339)


No. 7
First-principles (GGA-PBE) data for a relaxed structure of Ce3Sb2H, as listed in Alexandria.

Calculated values
Crystal system ... orthorhombic
VASP energy ... -135.41 eV for the cell shown
Density ... 7.456 Mg/m³
N(E_F) ... 58.88 states/eV per cell

Cell lengths 7.157, 4.239, 19.523 Å; angles 90.00, 90.00, 90.00 degrees
Positions (direct):
Ce (0.010, 0.250, 0.162)
Ce (0.120, 0.250, 0.338)
Ce (0.177, 0.250, 0.546)
Ce (0.323, 0.750, 0.046)
Ce (0.380, 0.750, 0.838)
Ce (0.490, 0.750, 0.662)
Ce (0.510, 0.250, 0.338)
Ce (0.620, 0.250, 0.162)
Ce (0.677, 0.250, 0.954)
Ce (0.823, 0.750, 0.454)
Ce (0.880, 0.750, 0.662)
Ce (0.990, 0.750, 0.838)
Sb (0.171, 0.250, 0.939)
Sb (0.185, 0.250, 0.720)
Sb (0.315, 0.750, 0.220)
Sb (0.329, 0.750, 0.439)
Sb (0.671, 0.250, 0.561)
Sb (0.685, 0.250, 0.780)
Sb (0.815, 0.750, 0.280)
Sb (0.829, 0.750, 0.061)
H (0.024, 0.750, 0.553)
H (0.476, 0.250, 0.053)
H (0.524, 0.750, 0.947)
H (0.976, 0.250, 0.447)


No. 8
First-principles (GGA-PBE) data for a relaxed structure of Ce5Sb3H, as listed in Alexandria.

Calculated values
Crystal system ... tetragonal
VASP energy ... -104.91 eV for the cell shown
Density ... 7.349 Mg/m³
N(E_F) ... 61.06 states/eV per cell

Cell lengths 9.149, 9.149, 9.149 Å; angles 126.17, 126.17, 79.60 degrees
Positions (direct):
Ce (0.000, 0.000, 0.000)
Ce (0.007, 0.507, 0.817)
Ce (0.191, 0.007, 0.500)
Ce (0.309, 0.809, 0.817)
Ce (0.493, 0.309, 0.500)
Ce (0.500, 0.500, 0.000)
Ce (0.507, 0.691, 0.500)
Ce (0.691, 0.191, 0.183)
Ce (0.809, 0.993, 0.500)
Ce (0.993, 0.493, 0.183)
Sb (0.143, 0.357, 0.500)
Sb (0.250, 0.250, 0.000)
Sb (0.357, 0.857, 0.215)
Sb (0.643, 0.143, 0.785)
Sb (0.750, 0.750, 0.000)
Sb (0.857, 0.643, 0.500)
H (0.250, 0.750, 0.500)
H (0.750, 0.250, 0.500)


| no. | M_tot (Bohr magnetons per cell) |
| --- | --- |
| 1 | 3.87 |
| 2 | 5.91 |
| 3 | 3.99 |
| 4 | 3.07 |
| 5 | 2.92 |
| 6 | 3.22 |
| 7 | 13.21 |
| 8 | 14.42 |